First-principles (PBEsol) data for an optimized crystal structure of NaAsIN2, as listed in Alexandria via LeMat-Bulk.

Computed properties:
N(E_F), states/eV/f.u.: 1.759
ΔE_f (raw), meV per atom: 814
Uncorrected energy, eV per atom: -4.25
M_tot, μB per cell: 1.0

The structure in POSCAR format:
```
NaAsIN2
1.0
3.8845 0.0000 0.0000
0.0000 3.8845 0.0000
0.0000 0.0000 6.4782
Na As I N
1 1 1 2
direct
0.0000 0.0000 0.0000
0.5000 0.5000 0.5000
0.5000 0.5000 0.0000
0.0000 0.5000 0.5000
0.5000 0.0000 0.5000
```